The following is a PBE calculation of a relaxed La3Ga9Co2 crystal, from Alexandria via LeMat-Bulk.

Values from the calculation:
symmetry = Immm (71)
volume = 267 Å³ per cell
VASP energy = -4.517 eV per atom
formation energy = -0.501 eV/atom

a b c (Å): 8.2635 8.2635 8.2635
angles (deg): 149.46 108.12 80.08
With the nearest neighbours (Å) after each atom.
Sites, in units of the cell vectors:
La1 0.0000 0.0000 0.0000  12 Ga 3.17-3.23
La2 0.3062 0.3062 0.0000  2 Co 3.07, 10 Ga 3.15-3.28
La3 0.6938 0.6938 0.0000  2 Co 3.07, 10 Ga 3.15-3.28
Ga1 0.0120 0.6540 0.3580  1 Co 2.53, 3 Ga 2.59-2.76
Ga2 0.1549 0.8733 0.2816  4 Ga 2.59-2.87, 2 Co 2.72
Ga3 0.2960 0.6540 0.6420  1 Co 2.53, 3 Ga 2.59-2.76
Ga4 0.4083 0.1267 0.2816  4 Ga 2.59-2.87, 2 Co 2.72
Ga5 0.5000 0.0000 0.5000  4 Ga 2.66, 4 Co 2.86
Ga6 0.5917 0.8733 0.7184  4 Ga 2.59-2.87, 2 Co 2.72
Ga7 0.7040 0.3460 0.3580  1 Co 2.53, 3 Ga 2.59-2.76
Ga8 0.8451 0.1267 0.7184  4 Ga 2.59-2.87, 2 Co 2.72
Ga9 0.9880 0.3460 0.6420  1 Co 2.53, 3 Ga 2.59-2.76
Co1 0.3089 0.5000 0.8089  6 Ga 2.53-2.72
Co2 0.6911 0.5000 0.1911  6 Ga 2.53-2.72